one.
Computed, not measured: a geometry-optimized GaSiPt3 structure at the GGA-PBE level of DFT.

abc: 4.5622 4.5622 4.5622
angles: 90.00 90.00 90.00
With the nearest neighbours (Å) after each atom.
Fractional coordinates of all 5 atoms:
1 Pt 0.0000 0.5000 0.0000  2 Si 2.28
2 Ga 0.5000 0.5000 0.5000  12 Pt 3.23
3 Si 0.0000 0.0000 0.0000  6 Pt 2.28
4 Pt 0.0000 0.0000 0.5000  2 Si 2.28
5 Pt 0.5000 0.0000 0.0000  2 Si 2.28

Properties
SG: Pm-3m
Spin magnetization, μB/f.u.: 0.00



two.
Computed, not measured: a geometry-optimized GaSiPt3 structure at the GGA-PBE level of DFT.

abc: 4.6441 4.6441 4.6441
angles: 90.00 90.00 90.00
With the nearest neighbours (Å) after each atom.
Fractional coordinates of all 5 atoms:
1 Pt 0.0000 0.0000 0.5000  2 Ga 2.32
2 Pt 0.5000 0.0000 0.0000  2 Ga 2.32
3 Ga 0.0000 0.0000 0.0000  6 Pt 2.32
4 Pt 0.0000 0.5000 0.0000  2 Ga 2.32
5 Si 0.5000 0.5000 0.5000  12 Pt 3.28

Properties
SG: Pm-3m
Spin magnetization, μB/f.u.: 0.00



Least stable of them? two.



one.
Computed, not measured: a geometry-optimized Ga3SiPt structure at the GGA-PBE level of DFT.

abc: 4.7063 4.7063 4.7063
angles: 90.00 90.00 90.00
With the nearest neighbours (Å) after each atom.
Fractional coordinates of all 5 atoms:
1 Si 0.0000 0.0000 0.0000  6 Ga 2.35
2 Ga 0.5000 0.0000 0.0000  2 Si 2.35
3 Ga 0.0000 0.5000 0.0000  2 Si 2.35
4 Pt 0.5000 0.5000 0.5000  12 Ga 3.33
5 Ga 0.0000 0.0000 0.5000  2 Si 2.35

Properties
SG: Pm-3m
Spin magnetization, μB/f.u.: 0.00



two.
Computed, not measured: a geometry-optimized Ga3SiPt structure at the GGA-PBE level of DFT.

abc: 4.8135 4.8135 4.8135
angles: 90.00 90.00 90.00
With the nearest neighbours (Å) after each atom.
Fractional coordinates of all 5 atoms:
1 Ga 0.0000 0.0000 0.5000  2 Pt 2.41
2 Pt 0.0000 0.0000 0.0000  6 Ga 2.41
3 Ga 0.5000 0.0000 0.0000  2 Pt 2.41
4 Ga 0.0000 0.5000 0.0000  2 Pt 2.41
5 Si 0.5000 0.5000 0.5000  12 Ga 3.40

Properties
SG: Pm-3m
Spin magnetization, μB/f.u.: 0.00



Least stable of them? one.